Entry 1:
ScNb2: relaxed, PBE-GGA.

The value obtained for the energy above the most stable polymorph in this dataset is 0.171 eV/f.u. The calculation puts the total energy at -8.6931 eV/atom. Its energy relative to the elements is 131 meV per atom. The density of states at the Fermi level is 2.16 states/eV per atom.

The space group is Fd-3m (No. 227, origin choice 2) and the conventional cell measures 7.905, 7.905 and 7.905 Å, with angles of 90.00, 90.00 and 90.00 degrees. The distinct sites, in fractional coordinates, are Sc at (0.125, 0.125, 0.125) and Nb at (0.000, 0.000, 0.500).

Entry 2:
MnOsRu2: relaxed, PBE-GGA.

The value obtained for the energy above the most stable polymorph in this dataset is 0.014 eV/f.u. The calculation puts the total energy at -9.6568 eV/atom. Its energy relative to the elements is 81 meV per atom. The density of states at the Fermi level is 0.97 states/eV per atom.

The space group is Cmmm (No. 65) and the conventional cell measures 5.355, 7.570 and 2.691 Å, with angles of 90.00, 90.00 and 90.00 degrees. The distinct sites, in fractional coordinates, are Mn at (0.000, 0.000, 0.000), Os at (0.000, 0.500, 0.000) and Ru at (0.250, 0.250, 0.500).

Entry 3:
Mg8AgPd5: relaxed, PBE-GGA.

The calculation puts the total energy at -3.4277 eV/atom. Its energy relative to the elements is -458 meV per atom. The density of states at the Fermi level is 0.37 states/eV per atom.

The space group is I-4 (No. 82) and the conventional cell measures 7.926, 7.926 and 8.093 Å, with angles of 90.00, 90.00 and 90.00 degrees. The distinct sites, in fractional coordinates, are Mg at (0.072, 0.326, 0.079), Mg at (0.085, 0.169, 0.727), Ag at (0.000, 0.500, 0.750), Pd at (0.000, 0.000, 0.000) and Pd at (0.123, 0.227, 0.407).

Entry 4:
Ce2PrP4: relaxed, PBE-GGA.

The calculation puts the total energy at -6.5797 eV/atom. Its energy relative to the elements is -1110 meV per atom. The density of states at the Fermi level is 1.25 states/eV per atom.

The space group is Cmcm (No. 63) and the conventional cell measures 4.251, 14.040 and 11.557 Å, with angles of 90.00, 90.00 and 90.00 degrees. The distinct sites, in fractional coordinates, are Ce at (0.000, 0.132, 0.058), Pr at (0.000, 0.400, 0.250), P at (0.000, 0.031, 0.250), P at (0.000, 0.239, 0.654) and P at (0.000, 0.500, 0.000).

Entry 5:
Y3HgO: relaxed, PBE-GGA.

The value obtained for the energy above the most stable polymorph in this dataset is 1.077 eV/f.u. For the formation energy from raw total energies, the calculation gives -1.19 eV per atom. The calculation puts the total energy at -6.1165 eV/atom. The density of states at the Fermi level is 0.82 states/eV per atom.

The space group is Amm2 (No. 38) and the conventional cell measures 3.677, 7.090 and 9.985 Å, with angles of 90.00, 90.00 and 90.00 degrees. The distinct sites, in fractional coordinates, are Y at (0.000, 0.000, 0.000), Y at (0.500, 0.243, 0.254), Hg at (0.000, 0.000, 0.505) and O at (0.500, 0.000, 0.874).

Entry 6:
TaSi2Te: relaxed, PBE-GGA.

For the formation energy from raw total energies, the calculation gives 0.33 eV per atom. The calculation puts the total energy at -6.1308 eV/atom. The density of states at the Fermi level is 0.42 states/eV per atom.

The space group is R-3m (No. 166, hexagonal axes) and the conventional cell measures 3.0441, 3.0441 and 28.4420 Å, with angles of 90.00, 90.00 and 120.00 degrees. The distinct sites, in fractional coordinates, are Ta at (0.0000, 0.0000, 0.0000), Si at (0.0000, 0.0000, 0.2608) and Te at (0.0000, 0.0000, 0.5000).

Entry 7:
Pm3Be: relaxed, PBE-GGA.

The value obtained for the energy above the most stable polymorph in this dataset is 0.000 eV/f.u. The calculation puts the total energy at -4.3475 eV/atom. Its energy relative to the elements is 147 meV per atom. The density of states at the Fermi level is 1.00 states/eV per atom.

The space group is Imm2 (No. 44) and the conventional cell measures 3.721, 11.359 and 5.282 Å, with angles of 90.00, 90.00 and 90.00 degrees. The distinct sites, in fractional coordinates, are Pm at (0.000, 0.000, 0.000), Pm at (0.000, 0.205, 0.499) and Be at (0.000, 0.500, 0.001).